CaLaSeS: relaxed, PBE.

Properties
**Symmetry**: R3m
**VASP energy**: -5.669 eV/atom

Cell and atoms, written as POSCAR:
```
CaLaSeS
1.0
2.075 1.198 6.930
-2.075 1.198 6.930
0.000 -2.396 6.930
Ca La Se S
1 1 1 1
Cartesian
0.000 0.000 0.000 Ca
0.000 0.000 10.558 La
0.000 0.000 15.603 Se
0.000 0.000 5.358 S
```

=====

PuCu6Se8: relaxed, PBE.

Properties
**Symmetry**: R-3
**VASP energy**: -4.697 eV/atom

Cell and atoms, written as POSCAR:
```
PuCu6Se8
1.0
4.933 2.848 3.541
-4.933 2.848 3.541
0.000 -5.696 3.541
Pu Cu Se
1 6 8
Cartesian
0.000 0.000 0.000 Pu
-0.655 -2.028 4.443 Cu
-2.083 -0.447 6.180 Cu
-1.429 1.581 4.443 Cu
1.429 -1.581 6.180 Cu
2.083 0.447 4.443 Cu
0.655 2.028 6.180 Cu
-3.701 0.422 4.650 Se
-2.216 -2.994 5.972 Se
0.000 0.000 3.356 Se
1.485 -3.416 4.650 Se
-1.485 3.416 5.972 Se
0.000 0.000 7.266 Se
2.216 2.994 4.650 Se
3.701 -0.422 5.972 Se
```

=====

KNbN2F: relaxed, PBE.

Properties
**Symmetry**: P4/mmm
**VASP energy**: -6.890 eV/atom

Cell and atoms, written as POSCAR:
```
KNbN2F
1.0
4.084 0.000 0.000
0.000 4.084 0.000
0.000 0.000 4.402
K Nb N F
1 1 2 1
Cartesian
0.000 0.000 0.000 K
2.042 2.042 2.201 Nb
0.000 2.042 2.201 N
2.042 0.000 2.201 N
2.042 2.042 0.000 F
```

=====

TaTiNi2Ag: relaxed, PBE.

Properties
**Formation energy from the elements**: 1.104 eV per atom
**Symmetry**: P4/mmm

Cell and atoms, written as POSCAR:
```
TaTiNi2Ag
1.0
4.246 0.000 0.000
0.000 4.246 0.000
0.000 0.000 4.776
Ta Ti Ni Ag
1 1 2 1
Cartesian
0.000 0.000 0.000 Ta
2.123 2.123 2.388 Ti
0.000 2.123 2.388 Ni
2.123 0.000 2.388 Ni
2.123 2.123 0.000 Ag
```

=====

Sc2SiP: relaxed, PBE.

Properties
**Symmetry**: Cm
**VASP energy**: -6.865 eV/atom

Cell and atoms, written as POSCAR:
```
Sc2SiP
1.0
4.898 -1.914 0.000
4.898 1.914 0.000
-0.198 0.000 3.713
Sc Si P
2 1 1
Cartesian
0.000 0.000 0.000 Sc
7.008 0.000 1.889 Sc
2.683 0.000 0.063 Si
4.319 0.000 1.809 P
```

=====

RbZn2Sn: relaxed, PBE.

Properties
**Formation energy from the elements**: 0.083 eV per atom
**Symmetry**: I4_1/amd

Cell and atoms, written as POSCAR:
```
RbZn2Sn
1.0
-2.794 2.794 9.141
2.794 -2.794 9.141
2.794 2.794 -9.141
Rb Zn Sn
2 4 2
Cartesian
2.794 1.397 2.285 Rb
0.000 1.397 6.856 Rb
0.000 0.000 0.000 Zn
1.397 1.397 -4.570 Zn
1.397 -1.397 4.570 Zn
0.000 2.794 0.000 Zn
2.794 -1.397 6.856 Sn
0.000 4.190 2.285 Sn
```

=====

| no. | total moment (μB/cell) |
| --- | --- |
| 1 | 0.00 |
| 2 | 4.36 |
| 3 | 0.39 |
| 4 | 0.00 |
| 5 | 0.00 |
| 6 | 0.00 |